First-principles (PBE) data for crystalline AcPm4Ru2 at its relaxed geometry, as listed in the Alexandria database.

Output
calculated volume	411.26	Å³ per cell
total magnetization	0.00	Bohr magnetons per cell

abc: 4.757 18.079 4.782
angles: 90.00 90.00 90.00
Space group Cmmm (No. 65)
Symmetry-distinct sites (fractional):
Ac  0.000  0.000  0.000 (multiplicity 2)
Pm  0.000  0.166  0.500 (multiplicity 4)
Pm  0.000  0.336  0.000 (multiplicity 4)
Ru  0.000  0.432  0.500 (multiplicity 4)

---

First-principles (PBE) data for crystalline AcPm2Ru2 at its relaxed geometry, as listed in the Alexandria database.

Output
calculated volume	274.39	Å³ per cell
total magnetization	0.00	Bohr magnetons per cell

abc: 12.010 4.124 5.830
angles: 90.00 108.14 90.00
Space group C2/m (No. 12)
Symmetry-distinct sites (fractional):
Ac  0.000  0.000  0.000 (multiplicity 2)
Pm  0.162  0.500  0.619 (multiplicity 4)
Ru  0.196  0.500  0.126 (multiplicity 4)

---

First-principles (PBE) data for crystalline AcPm4Ru4 at its relaxed geometry, as listed in the Alexandria database.

Output
calculated volume	471.54	Å³ per cell
total magnetization	0.00	Bohr magnetons per cell

abc: 9.132 9.132 5.655
angles: 90.00 90.00 90.00
Space group P4_2/n (No. 86, origin choice 2)
Symmetry-distinct sites (fractional):
Ac  0.250  0.250  0.250 (multiplicity 2)
Pm  0.070  0.669  0.135 (multiplicity 8)
Ru  0.021  0.618  0.625 (multiplicity 8)

---

First-principles (PBE) data for crystalline AcPm7Ru2 at its relaxed geometry, as listed in the Alexandria database.

Output
calculated volume	710.84	Å³ per cell
total magnetization	0.00	Bohr magnetons per cell

abc: 8.781 14.512 5.578
angles: 90.00 90.00 90.00
Space group Cmmm (No. 65)
Symmetry-distinct sites (fractional):
Ac  0.000  0.000  0.000 (multiplicity 2)
Pm  0.000  0.299  0.000 (multiplicity 4)
Pm  0.000  0.500  0.500 (multiplicity 2)
Pm  0.195  0.136  0.500 (multiplicity 8)
Ru  0.000  0.296  0.500 (multiplicity 4)

---

| no. | formation energy (eV/atom) |
| --- | --- |
| 1 | -0.02 |
| 2 | -0.08 |
| 3 | 0.03 |
| 4 | 0.03 |